[1]
Material: PmPrSe2
Method: DFT, PBE-GGA
State: relaxed

Values from the calculation:
The density of states at the Fermi level is 10.83 states/eV/cell. The distance to the lowest polymorph of the same formula comes out at 208 meV/atom. The formation energy without anion corrections comes out at -1.632 eV per atom.

```
data_PmPrSe2
_symmetry_space_group_name_H-M 'F m -3 m'
_symmetry_Int_Tables_number 225
_symmetry_space_group_name_Hall '-F 4 2 3'
_cell_length_a 7.316
_cell_length_b 7.316
_cell_length_c 7.316
_cell_angle_alpha 90.00
_cell_angle_beta 90.00
_cell_angle_gamma 90.00
loop_
_atom_site_label
_atom_site_fract_x
_atom_site_fract_y
_atom_site_fract_z
Pm1 0.000 0.000 0.000
Pr1 0.000 0.000 0.500
Se1 0.250 0.250 0.250
```

***

[2]
Material: Pm3PrSe4
Method: DFT, PBE-GGA
State: relaxed

Values from the calculation:
The density of states at the Fermi level is 10.11 states/eV/cell. The distance to the lowest polymorph of the same formula comes out at 0 meV/atom. The formation energy without anion corrections comes out at -1.828 eV per atom.

```
data_Pm3PrSe4
_symmetry_space_group_name_H-M 'P 63/m m c'
_symmetry_Int_Tables_number 194
_symmetry_space_group_name_Hall '-P 6c 2c'
_cell_length_a 4.1705
_cell_length_b 4.1705
_cell_length_c 28.1586
_cell_angle_alpha 90.00
_cell_angle_beta 90.00
_cell_angle_gamma 120.00
loop_
_atom_site_label
_atom_site_fract_x
_atom_site_fract_y
_atom_site_fract_z
Pm1 0.0000 0.0000 0.0000
Pm2 0.3333 0.6667 0.1229
Pr1 0.3333 0.6667 0.7500
Se1 0.0000 0.0000 0.1845
Se2 0.3333 0.6667 0.5619
```

***

[3]
Material: PmPr2Se4
Method: DFT, PBE-GGA
State: relaxed

Values from the calculation:
The density of states at the Fermi level is 8.53 states/eV/cell. The distance to the lowest polymorph of the same formula comes out at 0 meV/atom. The formation energy without anion corrections comes out at -1.869 eV per atom.

```
data_PmPr2Se4
_symmetry_space_group_name_H-M 'I m m a'
_symmetry_Int_Tables_number 74
_symmetry_space_group_name_Hall '-I 2b 2'
_cell_length_a 8.476
_cell_length_b 8.525
_cell_length_c 11.820
_cell_angle_alpha 90.00
_cell_angle_beta 90.00
_cell_angle_gamma 90.00
loop_
_atom_site_label
_atom_site_fract_x
_atom_site_fract_y
_atom_site_fract_z
Pm1 0.250 0.250 0.250
Pr1 0.000 0.000 0.000
Pr2 0.250 0.250 0.750
Se1 0.000 0.003 0.255
Se2 0.247 0.250 0.002
```

***

[4]
Material: PmPrSe
Method: DFT, PBE-GGA
State: relaxed

Values from the calculation:
The density of states at the Fermi level is 19.84 states/eV/cell. The distance to the lowest polymorph of the same formula comes out at 59 meV/atom. The formation energy without anion corrections comes out at -1.041 eV per atom.

```
data_PmPrSe
_symmetry_space_group_name_H-M 'C m c e'
_symmetry_Int_Tables_number 64
_symmetry_space_group_name_Hall '-C 2ac 2'
_cell_length_a 8.710
_cell_length_b 11.233
_cell_length_c 7.741
_cell_angle_alpha 90.00
_cell_angle_beta 90.00
_cell_angle_gamma 90.00
loop_
_atom_site_label
_atom_site_fract_x
_atom_site_fract_y
_atom_site_fract_z
Pm1 0.000 0.201 0.163
Pr1 0.202 0.000 0.500
Se1 0.000 0.064 0.803
```

***

[5]
Material: PmPrSe2
Method: DFT, PBE-GGA
State: relaxed

Values from the calculation:
The density of states at the Fermi level is 4.02 states/eV/cell. The distance to the lowest polymorph of the same formula comes out at 17 meV/atom. The formation energy without anion corrections comes out at -1.824 eV per atom.

```
data_PmPrSe2
_symmetry_space_group_name_H-M 'P 63/m m c'
_symmetry_Int_Tables_number 194
_symmetry_space_group_name_Hall '-P 6c 2c'
_cell_length_a 4.1589
_cell_length_b 4.1589
_cell_length_c 14.3405
_cell_angle_alpha 90.00
_cell_angle_beta 90.00
_cell_angle_gamma 120.00
loop_
_atom_site_label
_atom_site_fract_x
_atom_site_fract_y
_atom_site_fract_z
Pm1 0.3333 0.6667 0.2500
Pr1 0.0000 0.0000 0.0000
Se1 0.3333 0.6667 0.6258
```

***

[6]
Material: PmPrSe2
Method: DFT, PBE-GGA
State: relaxed

Values from the calculation:
The density of states at the Fermi level is 8.03 states/eV/cell. The distance to the lowest polymorph of the same formula comes out at 6 meV/atom. The formation energy without anion corrections comes out at -1.834 eV per atom.

```
data_PmPrSe2
_symmetry_space_group_name_H-M 'I 41/a m d'
_symmetry_Int_Tables_number 141
_cell_length_a 5.981
_cell_length_b 5.981
_cell_length_c 11.985
_cell_angle_alpha 90.00
_cell_angle_beta 90.00
_cell_angle_gamma 90.00
loop_
_symmetry_equiv_pos_as_xyz
'x,y,z'
'-x,-y,-z'
'-y+1/4,x+3/4,z+1/4'
'y+1/4,-x+3/4,-z+1/4'
'-x+1/2,-y,z+1/2'
'x+1/2,y,-z+1/2'
'y+1/4,-x+1/4,z+3/4'
'-y+1/4,x+1/4,-z+3/4'
'x,-y,-z'
'-x,y,z'
'-y+1/4,-x+1/4,-z+3/4'
'y+1/4,x+1/4,z+3/4'
'-x+1/2,y,-z+1/2'
'x+1/2,-y,z+1/2'
'y+1/4,x+3/4,-z+1/4'
'-y+1/4,-x+3/4,z+1/4'
'x+1/2,y+1/2,z+1/2'
'-x+1/2,-y+1/2,-z+1/2'
'-y+3/4,x+1/4,z+3/4'
'y+3/4,-x+1/4,-z+3/4'
'-x,-y+1/2,z'
'x,y+1/2,-z'
'y+3/4,-x+3/4,z+1/4'
'-y+3/4,x+3/4,-z+1/4'
'x+1/2,-y+1/2,-z+1/2'
'-x+1/2,y+1/2,z+1/2'
'-y+3/4,-x+3/4,-z+1/4'
'y+3/4,x+3/4,z+1/4'
'-x,y+1/2,-z'
'x,-y+1/2,z'
'y+3/4,x+1/4,-z+3/4'
'-y+3/4,-x+1/4,z+3/4'
loop_
_atom_site_label
_atom_site_fract_x
_atom_site_fract_y
_atom_site_fract_z
Pm1 0.000 0.250 0.375
Pr1 0.000 0.250 0.875
Se1 0.000 0.250 0.127
```

***

[7]
Material: PmPrSe
Method: DFT, PBE-GGA
State: relaxed

Values from the calculation:
The density of states at the Fermi level is 3.42 states/eV/cell. The distance to the lowest polymorph of the same formula comes out at 0 meV/atom. The formation energy without anion corrections comes out at -1.100 eV per atom.

```
data_PmPrSe
_symmetry_space_group_name_H-M 'P 3 m 1'
_symmetry_Int_Tables_number 156
_cell_length_a 4.0364
_cell_length_b 4.0364
_cell_length_c 6.7574
_cell_angle_alpha 90.00
_cell_angle_beta 90.00
_cell_angle_gamma 120.00
loop_
_symmetry_equiv_pos_as_xyz
'x,y,z'
'-y,x-y,z'
'-x+y,-x,z'
'-y,-x,z'
'-x+y,y,z'
'x,x-y,z'
loop_
_atom_site_label
_atom_site_fract_x
_atom_site_fract_y
_atom_site_fract_z
Pm1 0.0000 0.0000 0.0000
Pr1 0.6667 0.3333 0.4502
Se1 0.3333 0.6667 0.7308
```

***

[8]
Material: PmPrSiSe
Method: DFT, PBE-GGA
State: relaxed

Values from the calculation:
The density of states at the Fermi level is 4.35 states/eV/cell. The formation energy without anion corrections comes out at -1.296 eV per atom.

```
data_PmPrSiSe
_symmetry_space_group_name_H-M 'R 3 m'
_symmetry_Int_Tables_number 160
_symmetry_space_group_name_Hall 'R 3 -2"'
_cell_length_a 4.2508
_cell_length_b 4.2508
_cell_length_c 21.1347
_cell_angle_alpha 90.00
_cell_angle_beta 90.00
_cell_angle_gamma 120.00
loop_
_atom_site_label
_atom_site_fract_x
_atom_site_fract_y
_atom_site_fract_z
Pm1 0.0000 0.0000 0.0000
Pr1 0.0000 0.0000 0.4931
Si1 0.0000 0.0000 0.7454
Se1 0.0000 0.0000 0.2482
```